A plane-wave DFT calculation with PBE-GGA was carried out for crystalline Cs3Ag2SnBr9 at its relaxed geometry.

Cell lengths 7.923, 7.923, 9.723 Å; angles 90.00, 90.00, 120.00 degrees
Fractional positions:
Cs 0.000 0.000 0.000
Cs 0.333 0.667 0.689
Cs 0.667 0.333 0.311
Ag 0.333 0.667 0.156
Ag 0.667 0.333 0.844
Sn 0.000 0.000 0.500
Br 0.000 0.500 0.000
Br 0.163 0.327 0.339
Br 0.163 0.837 0.339
Br 0.327 0.163 0.661
Br 0.500 0.000 0.000
Br 0.500 0.500 0.000
Br 0.673 0.837 0.339
Br 0.837 0.163 0.661
Br 0.837 0.673 0.661

Values from the calculation:
The density of states at the Fermi level comes out at 0.336 states/eV per atom. As for the space group: P-3m1 (164). The raw formation energy comes out at -15.663 eV per formula unit. The calculation puts the total DFT energy (no corrections) at -2.87 eV/atom.